Record 1
# AlFeNi2

A relaxed AlFeNi2 crystal (PBEsol, the Alexandria database).

a b c (Å): 3.569 3.569 4.327
angles (deg): 114.36 114.36 90.00
Sites, in units of the cell vectors:
Al (0.500, 0.500, 0.000)
Fe (0.750, 0.250, 0.500)
Ni (0.250, 0.750, 0.500)
Ni (0.000, 0.000, 0.000)

The mass density comes out at 7.427 g/cm³. Its magnetization is 3.06 μB per cell. As for the formation energy: -0.300 eV per atom. As for the space group: I-4m2 (119).

Record 2
# AlFe2Ni

A relaxed AlFe2Ni crystal (PBEsol, the Alexandria database).

a b c (Å): 2.868 2.868 5.498
angles (deg): 90.00 90.00 90.00
Sites, in units of the cell vectors:
Fe (0.000, 0.000, 0.012)
Fe (0.500, 0.500, 0.242)
Al (0.500, 0.500, 0.750)
Ni (0.000, 0.000, 0.497)

The mass density comes out at 7.247 g/cm³. Its magnetization is 4.44 μB per cell. As for the formation energy: -0.235 eV per atom. As for the space group: P4mm (99).

Record 3
# AlFeNi2

A relaxed AlFeNi2 crystal (PBEsol, the Alexandria database).

a b c (Å): 2.578 4.108 4.248
angles (deg): 90.00 90.00 90.00
Sites, in units of the cell vectors:
Ni (0.000, 0.000, 0.065)
Ni (0.000, 0.500, 0.685)
Al (0.500, 0.000, 0.573)
Fe (0.500, 0.500, 0.177)

The mass density comes out at 7.388 g/cm³. Its magnetization is 3.08 μB per cell. As for the formation energy: -0.290 eV per atom. As for the space group: Pmm2 (25).

Record 4
# AlFeNi2

A relaxed AlFeNi2 crystal (PBEsol, the Alexandria database).

a b c (Å): 2.588 2.588 8.019
angles (deg): 80.71 80.71 60.00
Sites, in units of the cell vectors:
Fe (0.000, 0.000, 0.000)
Ni (0.250, 0.250, 0.251)
Ni (0.750, 0.750, 0.749)
Al (0.500, 0.500, 0.500)

The mass density comes out at 7.275 g/cm³. Its magnetization is 3.12 μB per cell. As for the formation energy: -0.120 eV per atom. As for the space group: R-3m (166).